[1]
# PBE TlNiAs4, optimized geometry
# Formation energy from the elements in meV/atom: 561.6
# E in eV per cell: -93.504
# ρ in g/cm3: 7.41
data_TlNiAs4
_cell_length_a 7.959
_cell_length_b 7.959
_cell_length_c 7.959
_cell_angle_alpha 90.00
_cell_angle_beta 90.00
_cell_angle_gamma 90.00
_symmetry_space_group_name_H-M 'F -4 3 m'
_symmetry_Int_Tables_number 216
_symmetry_space_group_name_Hall 'F -4 2 3'
loop_
_atom_site_label
_atom_site_type_symbol
_atom_site_fract_x
_atom_site_fract_y
_atom_site_fract_z
_atom_site_occupancy
Tl1 Tl 0.000 0.000 0.000 1
Ni1 Ni 0.250 0.250 0.250 1
As1 As 0.124 0.124 0.624 1

---

[2]
# PBE YTlNi2As, optimized geometry
# Formation energy from the elements in meV/atom: 1189.2
# E in eV per cell: -19.096
# ρ in g/cm3: 6.12
data_YTlNi2As
_cell_length_a 4.759
_cell_length_b 4.759
_cell_length_c 5.821
_cell_angle_alpha 90.00
_cell_angle_beta 90.00
_cell_angle_gamma 90.00
_symmetry_space_group_name_H-M 'P 4/m m m'
_symmetry_Int_Tables_number 123
_symmetry_space_group_name_Hall '-P 4 2'
loop_
_atom_site_label
_atom_site_type_symbol
_atom_site_fract_x
_atom_site_fract_y
_atom_site_fract_z
_atom_site_occupancy
Y1 Y 0.000 0.000 0.000 1
Tl1 Tl 0.000 0.000 0.500 1
Ni1 Ni 0.000 0.500 0.000 1
As1 As 0.500 0.500 0.500 1

---

[3]
# PBE TmNi2As2, optimized geometry
# Formation energy from the elements in meV/atom: -676.8
# E in eV per cell: -114.868
# ρ in g/cm3: 8.71
data_TmNi2As2
_cell_length_a 5.605
_cell_length_b 9.728
_cell_length_c 6.707
_cell_angle_alpha 90.00
_cell_angle_beta 114.64
_cell_angle_gamma 90.00
_symmetry_space_group_name_H-M 'C 1 2/c 1'
_symmetry_Int_Tables_number 15
_symmetry_space_group_name_Hall '-C 2yc'
loop_
_atom_site_label
_atom_site_type_symbol
_atom_site_fract_x
_atom_site_fract_y
_atom_site_fract_z
_atom_site_occupancy
Tm1 Tm 0.000 0.125 0.250 1
Ni1 Ni 0.102 0.374 0.957 1
As1 As 0.000 0.172 0.750 1
As2 As 0.000 0.424 0.250 1

---

[4]
# PBE Tm3Ni4As4, optimized geometry
# Formation energy from the elements in meV/atom: -911.2
# E in eV per cell: -130.323
# ρ in g/cm3: 9.64
data_Tm3Ni4As4
_cell_length_a 4.043
_cell_length_b 6.673
_cell_length_c 13.302
_cell_angle_alpha 90.00
_cell_angle_beta 90.00
_cell_angle_gamma 90.00
_symmetry_space_group_name_H-M 'I m m m'
_symmetry_Int_Tables_number 71
_symmetry_space_group_name_Hall '-I 2 2'
loop_
_atom_site_label
_atom_site_type_symbol
_atom_site_fract_x
_atom_site_fract_y
_atom_site_fract_z
_atom_site_occupancy
Tm1 Tm 0.000 0.000 0.000 1
Tm2 Tm 0.000 0.500 0.129 1
Ni1 Ni 0.000 0.305 0.326 1
As1 As 0.000 0.000 0.216 1
As2 As 0.000 0.206 0.500 1

---

[5]
# PBE TmNi4As2, optimized geometry
# Formation energy from the elements in meV/atom: -628.4
# E in eV per cell: -82.589
# ρ in g/cm3: 9.38
data_TmNi4As2
_cell_length_a 7.206
_cell_length_b 7.206
_cell_length_c 3.776
_cell_angle_alpha 90.00
_cell_angle_beta 90.00
_cell_angle_gamma 90.00
_symmetry_space_group_name_H-M 'P 42/m n m'
_symmetry_Int_Tables_number 136
_symmetry_space_group_name_Hall '-P 4n 2n'
loop_
_atom_site_label
_atom_site_type_symbol
_atom_site_fract_x
_atom_site_fract_y
_atom_site_fract_z
_atom_site_occupancy
Tm1 Tm 0.000 0.000 0.000 1
Ni1 Ni 0.089 0.346 0.500 1
As1 As 0.218 0.782 0.500 1

---

[6]
# PBE TmNi12As6, optimized geometry
# Formation energy from the elements in meV/atom: -219.4
# E in eV per cell: -317.740
# ρ in g/cm3: 8.31
data_TmNi12As6
_cell_length_a 10.7331
_cell_length_b 10.7331
_cell_length_c 7.9497
_cell_angle_alpha 90.00
_cell_angle_beta 90.00
_cell_angle_gamma 120.00
_symmetry_space_group_name_H-M 'R -3 m'
_symmetry_Int_Tables_number 166
_symmetry_space_group_name_Hall '-R 3 2"'
loop_
_atom_site_label
_atom_site_type_symbol
_atom_site_fract_x
_atom_site_fract_y
_atom_site_fract_z
_atom_site_occupancy
Tm1 Tm 0.0000 0.0000 0.0000 1
Ni1 Ni 0.0000 0.3788 0.5000 1
Ni2 Ni 0.0822 0.1644 0.3320 1
As1 As 0.0383 0.5191 0.2644 1